Entry from the Alexandria database: crystalline RbTcBr2 at its relaxed geometry (PBE-GGA).

- Uncorrected energy: -0.2608 Ry per atom
- Formation energy from raw total energies: 0.122 eV/atom
- Symmetry: Fm-3m, No. 225
- ΔE to the lowest computed polymorph: 0.89 eV per formula unit

Cell: 5.4372 5.4372 5.4372 Å, 60.00 60.00 60.00°
Sites, in units of the cell vectors:
Rb: 0.0000 0.0000 0.0000
Tc: 0.5000 0.5000 0.5000
Br: 0.2500 0.2500 0.2500
Br: 0.7500 0.7500 0.7500

***

Entry from the Alexandria database: crystalline RbTc2Br at its relaxed geometry (PBE-GGA).

- Uncorrected energy: -0.2786 Ry per atom
- Formation energy from raw total energies: 2.052 eV/atom
- Symmetry: Fm-3m, No. 225
- ΔE to the lowest computed polymorph: 3.91 eV per formula unit

Cell: 4.7912 4.7912 4.7912 Å, 60.00 60.00 60.00°
Sites, in units of the cell vectors:
Rb: 0.0000 0.0000 0.0000
Tc: 0.2500 0.2500 0.2500
Tc: 0.7500 0.7500 0.7500
Br: 0.5000 0.5000 0.5000

***

Entry from the Alexandria database: crystalline Rb3TcBr at its relaxed geometry (PBE-GGA).

- Uncorrected energy: -0.1802 Ry per atom
- Formation energy from raw total energies: 0.537 eV/atom
- Symmetry: Pm-3m, No. 221

Cell: 6.5298 6.5298 6.5298 Å, 90.00 90.00 90.00°
Sites, in units of the cell vectors:
Rb: 0.0000 0.0000 0.5000
Rb: 0.0000 0.5000 0.0000
Rb: 0.5000 0.0000 0.0000
Tc: 0.0000 0.0000 0.0000
Br: 0.5000 0.5000 0.5000

***

Entry from the Alexandria database: crystalline RbTc3Br at its relaxed geometry (PBE-GGA).

- Uncorrected energy: -0.2546 Ry per atom
- Formation energy from raw total energies: 3.284 eV/atom
- Symmetry: Pm-3m, No. 221
- ΔE to the lowest computed polymorph: 7.02 eV per formula unit

Cell: 5.2994 5.2994 5.2994 Å, 90.00 90.00 90.00°
Sites, in units of the cell vectors:
Rb: 0.0000 0.0000 0.0000
Tc: 0.0000 0.0000 0.5000
Tc: 0.0000 0.5000 0.0000
Tc: 0.5000 0.0000 0.0000
Br: 0.5000 0.5000 0.5000

***

Entry from the Alexandria database: crystalline RbTcBr2 at its relaxed geometry (PBE-GGA).

- Uncorrected energy: -0.2721 Ry per atom
- Formation energy from raw total energies: -0.032 eV/atom
- Symmetry: I-42d, No. 122
- ΔE to the lowest computed polymorph: 0.28 eV per formula unit

Cell: 8.5337 8.5337 8.5337 Å, 136.17 136.17 63.71°
Sites, in units of the cell vectors:
Rb: 0.0000 0.0000 0.0000
Rb: 0.7500 0.2500 0.5000
Tc: 0.2500 0.7500 0.5000
Tc: 0.5000 0.5000 0.0000
Br: 0.2452 0.6250 0.1202
Br: 0.3750 0.4952 0.6202
Br: 0.5048 0.1250 0.8798
Br: 0.8750 0.7548 0.3798

***

Entry from the Alexandria database: crystalline Rb3TcBr6 at its relaxed geometry (PBE-GGA).

- Uncorrected energy: -0.2535 Ry per atom
- Formation energy from raw total energies: -1.119 eV/atom
- Symmetry: Fm-3m, No. 225

Cell: 8.1724 8.1724 8.1724 Å, 60.00 60.00 60.00°
Sites, in units of the cell vectors:
Rb: 0.0000 0.0000 0.0000
Rb: 0.2500 0.2500 0.2500
Rb: 0.7500 0.7500 0.7500
Tc: 0.5000 0.5000 0.5000
Br: 0.2789 0.2789 0.7211
Br: 0.2789 0.7211 0.2789
Br: 0.2789 0.7211 0.7211
Br: 0.7211 0.2789 0.2789
Br: 0.7211 0.2789 0.7211
Br: 0.7211 0.7211 0.2789